Computed, not measured: crystalline Ti2InRh at its relaxed geometry at the PBE level of DFT.

Its total magnetization is 0.65 μB/cell. Its total energy is -6.902 eV per atom. As for the formation energy: -0.4321 eV/atom. The volume is 68.65 Å³/cell.

The space group is P4/mmm (No. 123) and the conventional cell measures 2.939, 2.939 and 7.946 Å, with angles of 90.00, 90.00 and 90.00 degrees. Symmetry generates all atoms from Ti at (0.000, 0.000, 0.216), In at (0.500, 0.500, 0.500) and Rh at (0.500, 0.500, 0.000).

***

Computed, not measured: crystalline Li5Bi3F12 at its relaxed geometry at the PBE level of DFT.

Its total magnetization is 0.00 μB/cell. Its total energy is -4.635 eV per atom. As for the energy relative to the elements, uncorrected: -2.452 eV per atom. The volume is 2212.23 Å³/cell.

The space group is Ia-3d (No. 230) and the conventional cell measures 13.030, 13.030 and 13.030 Å, with angles of 90.00, 90.00 and 90.00 degrees. Symmetry generates all atoms from Li at (0.000, 0.000, 0.000), Li at (0.000, 0.250, 0.375), Bi at (0.000, 0.250, 0.125) and F at (0.022, 0.048, 0.654).

***

Computed, not measured: crystalline RbSnN at its relaxed geometry at the PBE level of DFT.

Its total magnetization is 0.00 μB/cell. Its total energy is -4.142 eV per atom. As for the energy relative to the elements, uncorrected: 0.290 eV per atom. For the offset from the most stable computed form, the calculation gives 0.686 eV per formula unit. The volume is 167.74 Å³/cell.

The space group is P4/nmm (No. 129, origin choice 2) and the conventional cell measures 4.328, 4.328 and 8.953 Å, with angles of 90.00, 90.00 and 90.00 degrees. Symmetry generates all atoms from Rb at (0.250, 0.250, 0.140), Sn at (0.250, 0.250, 0.583) and N at (0.250, 0.250, 0.799).

***

Computed, not measured: crystalline CoSbBr2 at its relaxed geometry at the PBE level of DFT.

Its total magnetization is 3.37 μB/cell. Its total energy is -3.683 eV per atom. As for the energy relative to the elements, uncorrected: -0.040 eV per atom. For the offset from the most stable computed form, the calculation gives 0.379 eV per formula unit. The volume is 238.44 Å³/cell.

The space group is Cm (No. 8) and the conventional cell measures 9.313, 3.524 and 7.511 Å, with angles of 90.00, 104.72 and 90.00 degrees. Symmetry generates all atoms from Co at (0.000, 0.000, 0.000), Sb at (0.289, 0.000, 0.978), Br at (0.117, 0.500, 0.239) and Br at (0.452, 0.000, 0.718).

***

- Which value of volume does entry 2 give?
  2212.23 Å³/cell